No. 1
# PuMgSc2 GGA-PBE optimized geometry
data_PuMgSc2
_chemical_formula_sum 'Pu3 Mg3 Sc6'
_cell_length_a 3.1762
_cell_length_b 3.1762
_cell_length_c 34.4044
_cell_angle_alpha 90.00
_cell_angle_beta 90.00
_cell_angle_gamma 120.00
_symmetry_space_group_name_H-M 'R -3 m'
_symmetry_Int_Tables_number 166
_symmetry_space_group_name_Hall '-R 3 2"'
loop_
_atom_site_label
_atom_site_type_symbol
_atom_site_fract_x
_atom_site_fract_y
_atom_site_fract_z
_atom_site_occupancy
Pu1 Pu 0.0000 0.0000 0.0000 1
Mg1 Mg 0.0000 0.0000 0.5000 1
Sc1 Sc 0.0000 0.0000 0.0904 1
# **E above lowest polymorph**: 213 meV/atom
# **VASP energy**: -6.8887 eV/atom
# **ΔH_f (0 K)**: 100 kJ/mol of formula units

No. 2
# PuMgSc GGA-PBE optimized geometry
data_PuMgSc
_chemical_formula_sum 'Pu1 Mg1 Sc1'
_cell_length_a 3.2414
_cell_length_b 3.2414
_cell_length_c 8.2015
_cell_angle_alpha 90.00
_cell_angle_beta 90.00
_cell_angle_gamma 120.00
_symmetry_space_group_name_H-M 'P 3 m 1'
_symmetry_Int_Tables_number 156
_symmetry_space_group_name_Hall 'P 3 -2"'
loop_
_atom_site_label
_atom_site_type_symbol
_atom_site_fract_x
_atom_site_fract_y
_atom_site_fract_z
_atom_site_occupancy
Pu1 Pu 0.0000 0.0000 0.0000 1
Mg1 Mg 0.6667 0.3333 0.3440 1
Sc1 Sc 0.3333 0.6667 0.6680 1
# **E above lowest polymorph**: 40 meV/atom
# **VASP energy**: -7.2988 eV/atom
# **ΔH_f (0 K)**: 35 kJ/mol of formula units

No. 3
# Pu3Mg5Sc12 GGA-PBE optimized geometry
data_Pu3Mg5Sc12
_chemical_formula_sum 'Pu24 Mg40 Sc96'
_cell_length_a 17.1629
_cell_length_b 17.1629
_cell_length_c 17.1629
_cell_angle_alpha 90.00
_cell_angle_beta 90.00
_cell_angle_gamma 90.00
_symmetry_space_group_name_H-M 'I a -3 d'
_symmetry_Int_Tables_number 230
_symmetry_space_group_name_Hall '-I 4bd 2c 3'
loop_
_atom_site_label
_atom_site_type_symbol
_atom_site_fract_x
_atom_site_fract_y
_atom_site_fract_z
_atom_site_occupancy
Pu1 Pu 0.0000 0.2500 0.1250 1
Mg1 Mg 0.0000 0.0000 0.0000 1
Mg2 Mg 0.0000 0.2500 0.3750 1
Sc1 Sc 0.0103 0.0839 0.6473 1
# **VASP energy**: -5.5110 eV/atom
# **ΔH_f (0 K)**: 1614 kJ/mol of formula units

No. 4
# Pu2MgSc GGA-PBE optimized geometry
data_Pu2MgSc
_chemical_formula_sum 'Pu2 Mg1 Sc1'
_cell_length_a 4.4387
_cell_length_b 4.4387
_cell_length_c 5.0653
_cell_angle_alpha 90.00
_cell_angle_beta 90.00
_cell_angle_gamma 90.00
_symmetry_space_group_name_H-M 'P 4/m m m'
_symmetry_Int_Tables_number 123
_symmetry_space_group_name_Hall '-P 4 2'
loop_
_atom_site_label
_atom_site_type_symbol
_atom_site_fract_x
_atom_site_fract_y
_atom_site_fract_z
_atom_site_occupancy
Pu1 Pu 0.0000 0.5000 0.0000 1
Mg1 Mg 0.0000 0.0000 0.5000 1
Sc1 Sc 0.5000 0.5000 0.5000 1
# **E above lowest polymorph**: 0 meV/atom
# **VASP energy**: -8.9888 eV/atom
# **ΔH_f (0 K)**: 61 kJ/mol of formula units

No. 5
# PuMgSc4 GGA-PBE optimized geometry
data_PuMgSc4
_chemical_formula_sum 'Pu2 Mg2 Sc8'
_cell_length_a 6.4494
_cell_length_b 3.2082
_cell_length_c 13.9064
_cell_angle_alpha 90.00
_cell_angle_beta 90.00
_cell_angle_gamma 90.00
_symmetry_space_group_name_H-M 'P m m a'
_symmetry_Int_Tables_number 51
_symmetry_space_group_name_Hall '-P 2a 2a'
loop_
_atom_site_label
_atom_site_type_symbol
_atom_site_fract_x
_atom_site_fract_y
_atom_site_fract_z
_atom_site_occupancy
Pu1 Pu 0.2500 0.0000 0.1690 1
Mg1 Mg 0.2500 0.0000 0.4996 1
Sc1 Sc 0.0000 0.5000 0.0000 1
Sc2 Sc 0.0017 0.5000 0.3343 1
Sc3 Sc 0.2500 0.0000 0.8303 1
# **E above lowest polymorph**: 0 meV/atom
# **VASP energy**: -6.8471 eV/atom
# **ΔH_f (0 K)**: 16 kJ/mol of formula units

No. 6
# PuMgSc6 GGA-PBE optimized geometry
data_PuMgSc6
_chemical_formula_sum 'Pu1 Mg1 Sc6'
_cell_length_a 4.6182
_cell_length_b 4.6182
_cell_length_c 9.1011
_cell_angle_alpha 90.00
_cell_angle_beta 90.00
_cell_angle_gamma 90.00
_symmetry_space_group_name_H-M 'P 4/m m m'
_symmetry_Int_Tables_number 123
_symmetry_space_group_name_Hall '-P 4 2'
loop_
_atom_site_label
_atom_site_type_symbol
_atom_site_fract_x
_atom_site_fract_y
_atom_site_fract_z
_atom_site_occupancy
Pu1 Pu 0.0000 0.0000 0.0000 1
Mg1 Mg 0.0000 0.0000 0.5000 1
Sc1 Sc 0.0000 0.5000 0.2460 1
Sc2 Sc 0.5000 0.5000 0.0000 1
Sc3 Sc 0.5000 0.5000 0.5000 1
# **VASP energy**: -6.6730 eV/atom
# **ΔH_f (0 K)**: 51 kJ/mol of formula units

No. 7
# PuMg2Sc4 GGA-PBE optimized geometry
data_PuMg2Sc4
_chemical_formula_sum 'Pu2 Mg4 Sc8'
_cell_length_a 3.0772
_cell_length_b 22.8243
_cell_length_c 5.4237
_cell_angle_alpha 90.00
_cell_angle_beta 90.00
_cell_angle_gamma 90.00
_symmetry_space_group_name_H-M 'C m m m'
_symmetry_Int_Tables_number 65
_symmetry_space_group_name_Hall '-C 2 2'
loop_
_atom_site_label
_atom_site_type_symbol
_atom_site_fract_x
_atom_site_fract_y
_atom_site_fract_z
_atom_site_occupancy
Pu1 Pu 0.0000 0.0000 0.0000 1
Mg1 Mg 0.0000 0.3076 0.5000 1
Sc1 Sc 0.0000 0.0719 0.5000 1
Sc2 Sc 0.0000 0.3790 0.0000 1
# **VASP energy**: -5.8457 eV/atom
# **ΔH_f (0 K)**: 186 kJ/mol of formula units

No. 8
# PuMgSc2 GGA-PBE optimized geometry
data_PuMgSc2
_chemical_formula_sum 'Pu1 Mg1 Sc2'
_cell_length_a 3.2320
_cell_length_b 3.2320
_cell_length_c 9.1864
_cell_angle_alpha 90.00
_cell_angle_beta 90.00
_cell_angle_gamma 90.00
_symmetry_space_group_name_H-M 'P 4/m m m'
_symmetry_Int_Tables_number 123
_symmetry_space_group_name_Hall '-P 4 2'
loop_
_atom_site_label
_atom_site_type_symbol
_atom_site_fract_x
_atom_site_fract_y
_atom_site_fract_z
_atom_site_occupancy
Pu1 Pu 0.0000 0.0000 0.0000 1
Mg1 Mg 0.0000 0.0000 0.5000 1
Sc1 Sc 0.5000 0.5000 0.2518 1
# **E above lowest polymorph**: 0 meV/atom
# **VASP energy**: -7.1017 eV/atom
# **ΔH_f (0 K)**: 18 kJ/mol of formula units

Q: Look up the VASP energy of the seventh one.
A: -5.8457 eV/atom

Repeat the second record exactly.
# PuMgSc GGA-PBE optimized geometry
data_PuMgSc
_chemical_formula_sum 'Pu1 Mg1 Sc1'
_cell_length_a 3.2414
_cell_length_b 3.2414
_cell_length_c 8.2015
_cell_angle_alpha 90.00
_cell_angle_beta 90.00
_cell_angle_gamma 120.00
_symmetry_space_group_name_H-M 'P 3 m 1'
_symmetry_Int_Tables_number 156
_symmetry_space_group_name_Hall 'P 3 -2"'
loop_
_atom_site_label
_atom_site_type_symbol
_atom_site_fract_x
_atom_site_fract_y
_atom_site_fract_z
_atom_site_occupancy
Pu1 Pu 0.0000 0.0000 0.0000 1
Mg1 Mg 0.6667 0.3333 0.3440 1
Sc1 Sc 0.3333 0.6667 0.6680 1
# **E above lowest polymorph**: 40 meV/atom
# **VASP energy**: -7.2988 eV/atom
# **ΔH_f (0 K)**: 35 kJ/mol of formula units